14
Lattice="-4.197 1.474 3.297 -5.667 0.544 -7.458 0.835 -8.091 4.681" Properties=species:S:1:pos:R:3 comment="Dy3Tm3Sc, relaxed, DFT PBE-GGA" dos_ef_per_ev_fu=14.4 space_group=P6_3/m dft_energy_ev_per_atom=-4.7770 e_above_lowest_polymorph_ev_per_atom=0.000 pbc="T T T"
Dy -6.765 -5.022 0.607
Dy -3.235 -0.833 3.228
Dy -3.442 -6.469 5.484
Dy -2.264 -1.051 -0.088
Dy -5.794 -5.240 -2.710
Dy -5.587 0.396 -4.965
Tm -3.489 -4.347 -0.173
Tm -1.196 -3.449 2.345
Tm -2.459 -6.734 2.205
Tm -5.540 -1.726 0.692
Tm -7.834 -2.623 -1.826
Tm -6.570 0.662 -1.686
Sc -4.481 -4.108 3.107
Sc -4.548 -1.964 -2.588